# 1
# SrHfN2F (GGA-PBEsol, relaxed)
data_SrHfN2F
_chemical_formula_sum 'Sr1 Hf1 N2 F1'
_space_group_name_H-M_alt 'P 4/m m m'
_space_group_IT_number 123
_space_group_name_Hall '-P 4 2'
_cell_length_a 4.192
_cell_length_b 4.192
_cell_length_c 4.149
_cell_angle_alpha 90.00
_cell_angle_beta 90.00
_cell_angle_gamma 90.00
loop_
_atom_site_label
_atom_site_fract_x
_atom_site_fract_y
_atom_site_fract_z
Sr1 0.000 0.000 0.000
Hf1 0.500 0.500 0.500
N1 0.000 0.500 0.500
F1 0.500 0.500 0.000
# - E_tot (eV/atom) = -8.05
# - formation energy from raw total energies (eV per atom) = -1.78

***

# 2
# HfTeN2F (GGA-PBEsol, relaxed)
data_HfTeN2F
_chemical_formula_sum 'Hf1 Te1 N2 F1'
_space_group_name_H-M_alt 'P 4/m m m'
_space_group_IT_number 123
_space_group_name_Hall '-P 4 2'
_cell_length_a 4.160
_cell_length_b 4.160
_cell_length_c 3.946
_cell_angle_alpha 90.00
_cell_angle_beta 90.00
_cell_angle_gamma 90.00
loop_
_atom_site_label
_atom_site_fract_x
_atom_site_fract_y
_atom_site_fract_z
Hf1 0.000 0.000 0.000
Te1 0.500 0.500 0.000
N1 0.000 0.500 0.500
F1 0.500 0.500 0.500
# - E_tot (eV/atom) = -5.55
# - formation energy from raw total energies (eV per atom) = 1.06

***

# 3
# HfZrN2F (GGA-PBEsol, relaxed)
data_HfZrN2F
_chemical_formula_sum 'Hf1 Zr1 N2 F1'
_space_group_name_H-M_alt 'P 4/m m m'
_space_group_IT_number 123
_space_group_name_Hall '-P 4 2'
_cell_length_a 4.188
_cell_length_b 4.188
_cell_length_c 3.838
_cell_angle_alpha 90.00
_cell_angle_beta 90.00
_cell_angle_gamma 90.00
loop_
_atom_site_label
_atom_site_fract_x
_atom_site_fract_y
_atom_site_fract_z
Hf1 0.000 0.000 0.000
Zr1 0.500 0.500 0.500
N1 0.000 0.500 0.000
F1 0.000 0.000 0.500
# - E_tot (eV/atom) = -8.92
# - formation energy from raw total energies (eV per atom) = -1.21

***

# 4
# Na5Hf2F13 (GGA-PBEsol, relaxed)
data_Na5Hf2F13
_chemical_formula_sum 'Na10 Hf4 F26'
_space_group_name_H-M_alt 'C 1 2/m 1'
_space_group_IT_number 12
_space_group_name_Hall '-C 2y'
_cell_length_a 11.542
_cell_length_b 5.474
_cell_length_c 8.386
_cell_angle_alpha 90.00
_cell_angle_beta 97.35
_cell_angle_gamma 90.00
loop_
_atom_site_label
_atom_site_fract_x
_atom_site_fract_y
_atom_site_fract_z
Na1 0.000 0.000 0.000
Na2 0.164 0.000 0.428
Na3 0.222 0.500 0.155
Hf1 0.073 0.500 0.742
F1 0.000 0.500 0.500
F2 0.061 0.263 0.251
F3 0.133 0.276 0.928
F4 0.181 0.263 0.643
# - E_tot (eV/atom) = -6.03
# - formation energy from raw total energies (eV per atom) = -3.38

***

# 5
# Na3HfF7 (GGA-PBEsol, relaxed)
data_Na3HfF7
_chemical_formula_sum 'Na6 Hf2 F14'
_space_group_name_H-M_alt 'C 1 m 1'
_space_group_IT_number 8
_space_group_name_Hall 'C -2y'
_cell_length_a 7.582
_cell_length_b 7.720
_cell_length_c 6.195
_cell_angle_alpha 90.00
_cell_angle_beta 124.14
_cell_angle_gamma 90.00
loop_
_atom_site_label
_atom_site_fract_x
_atom_site_fract_y
_atom_site_fract_z
Na1 0.000 0.000 0.000
Na2 0.023 0.269 0.560
Hf1 0.470 0.000 0.022
F1 0.143 0.000 0.761
F2 0.162 0.500 0.889
F3 0.172 0.327 0.300
F4 0.361 0.000 0.261
F5 0.392 0.230 0.823
# - E_tot (eV/atom) = -5.87
# - formation energy from raw total energies (eV per atom) = -3.31

***

# 6
# NaHfO2F (GGA-PBEsol, relaxed)
data_NaHfO2F
_chemical_formula_sum 'Na1 Hf1 O2 F1'
_space_group_name_H-M_alt 'P 4/m m m'
_space_group_IT_number 123
_space_group_name_Hall '-P 4 2'
_cell_length_a 4.051
_cell_length_b 4.051
_cell_length_c 4.137
_cell_angle_alpha 90.00
_cell_angle_beta 90.00
_cell_angle_gamma 90.00
loop_
_atom_site_label
_atom_site_fract_x
_atom_site_fract_y
_atom_site_fract_z
Na1 0.000 0.000 0.000
Hf1 0.500 0.500 0.500
O1 0.000 0.500 0.500
F1 0.500 0.500 0.000
# - E_tot (eV/atom) = -7.88
# - formation energy from raw total energies (eV per atom) = -3.02

***

# 7
# NaHf2TiF11 (GGA-PBEsol, relaxed)
data_NaHf2TiF11
_chemical_formula_sum 'Na2 Hf4 Ti2 F22'
_space_group_name_H-M_alt 'C 1 m 1'
_space_group_IT_number 8
_space_group_name_Hall 'C -2y'
_cell_length_a 9.139
_cell_length_b 6.768
_cell_length_c 7.705
_cell_angle_alpha 90.00
_cell_angle_beta 116.26
_cell_angle_gamma 90.00
loop_
_atom_site_label
_atom_site_fract_x
_atom_site_fract_y
_atom_site_fract_z
Na1 0.000 0.000 0.000
Hf1 0.003 0.500 0.224
Hf2 0.496 0.000 0.757
Ti1 0.499 0.500 0.491
F1 0.001 0.500 0.491
F2 0.011 0.209 0.298
F3 0.233 0.500 0.885
F4 0.248 0.500 0.346
F5 0.251 0.000 0.635
F6 0.266 0.000 0.100
F7 0.487 0.291 0.683
F8 0.499 0.169 0.990
# - E_tot (eV/atom) = -6.97
# - formation energy from raw total energies (eV per atom) = -3.51

***

# 8
# HfNb3F (GGA-PBEsol, relaxed)
data_HfNb3F
_chemical_formula_sum 'Hf1 Nb3 F1'
_space_group_name_H-M_alt 'P m -3 m'
_space_group_IT_number 221
_space_group_name_Hall '-P 4 2 3'
_cell_length_a 4.899
_cell_length_b 4.899
_cell_length_c 4.899
_cell_angle_alpha 90.00
_cell_angle_beta 90.00
_cell_angle_gamma 90.00
loop_
_atom_site_label
_atom_site_fract_x
_atom_site_fract_y
_atom_site_fract_z
Hf1 0.000 0.000 0.000
Nb1 0.000 0.000 0.500
F1 0.500 0.500 0.500
# - E_tot (eV/atom) = -7.16
# - formation energy from raw total energies (eV per atom) = 1.82

***

# 9
# HfNbO2F (GGA-PBEsol, relaxed)
data_HfNbO2F
_chemical_formula_sum 'Hf1 Nb1 O2 F1'
_space_group_name_H-M_alt 'P 4/m m m'
_space_group_IT_number 123
_space_group_name_Hall '-P 4 2'
_cell_length_a 4.094
_cell_length_b 4.094
_cell_length_c 4.092
_cell_angle_alpha 90.00
_cell_angle_beta 90.00
_cell_angle_gamma 90.00
loop_
_atom_site_label
_atom_site_fract_x
_atom_site_fract_y
_atom_site_fract_z
Hf1 0.000 0.000 0.000
Nb1 0.500 0.500 0.500
O1 0.000 0.500 0.000
F1 0.000 0.000 0.500
# - E_tot (eV/atom) = -8.50
# - formation energy from raw total energies (eV per atom) = -1.75

***

# 10
# HfNbSn2F (GGA-PBEsol, relaxed)
data_HfNbSn2F
_chemical_formula_sum 'Hf1 Nb1 Sn2 F1'
_space_group_name_H-M_alt 'P 4/m m m'
_space_group_IT_number 123
_space_group_name_Hall '-P 4 2'
_cell_length_a 5.418
_cell_length_b 5.418
_cell_length_c 4.808
_cell_angle_alpha 90.00
_cell_angle_beta 90.00
_cell_angle_gamma 90.00
loop_
_atom_site_label
_atom_site_fract_x
_atom_site_fract_y
_atom_site_fract_z
Hf1 0.000 0.000 0.000
Nb1 0.000 0.000 0.500
Sn1 0.000 0.500 0.000
F1 0.500 0.500 0.500
# - E_tot (eV/atom) = -5.64
# - formation energy from raw total energies (eV per atom) = 0.71

***

# 11
# Hf3NiF (GGA-PBEsol, relaxed)
data_Hf3NiF
_chemical_formula_sum 'Hf3 Ni1 F1'
_space_group_name_H-M_alt 'P m -3 m'
_space_group_IT_number 221
_space_group_name_Hall '-P 4 2 3'
_cell_length_a 4.333
_cell_length_b 4.333
_cell_length_c 4.333
_cell_angle_alpha 90.00
_cell_angle_beta 90.00
_cell_angle_gamma 90.00
loop_
_atom_site_label
_atom_site_fract_x
_atom_site_fract_y
_atom_site_fract_z
Hf1 0.000 0.000 0.500
Ni1 0.500 0.500 0.500
F1 0.000 0.000 0.000
# - E_tot (eV/atom) = -8.25
# - formation energy from raw total energies (eV per atom) = -0.33

***

# 12
# HfOsO2F (GGA-PBEsol, relaxed)
data_HfOsO2F
_chemical_formula_sum 'Hf1 Os1 O2 F1'
_space_group_name_H-M_alt 'P 4/m m m'
_space_group_IT_number 123
_space_group_name_Hall '-P 4 2'
_cell_length_a 4.081
_cell_length_b 4.081
_cell_length_c 4.044
_cell_angle_alpha 90.00
_cell_angle_beta 90.00
_cell_angle_gamma 90.00
loop_
_atom_site_label
_atom_site_fract_x
_atom_site_fract_y
_atom_site_fract_z
Hf1 0.000 0.000 0.000
Os1 0.500 0.500 0.500
O1 0.000 0.500 0.000
F1 0.000 0.000 0.500
# - E_tot (eV/atom) = -8.08
# - formation energy from raw total energies (eV per atom) = -1.05

***

# 13
# HfPO2F (GGA-PBEsol, relaxed)
data_HfPO2F
_chemical_formula_sum 'Hf1 P1 O2 F1'
_space_group_name_H-M_alt 'P 4/m m m'
_space_group_IT_number 123
_space_group_name_Hall '-P 4 2'
_cell_length_a 3.907
_cell_length_b 3.907
_cell_length_c 5.520
_cell_angle_alpha 90.00
_cell_angle_beta 90.00
_cell_angle_gamma 90.00
loop_
_atom_site_label
_atom_site_fract_x
_atom_site_fract_y
_atom_site_fract_z
Hf1 0.000 0.000 0.000
P1 0.000 0.000 0.500
O1 0.000 0.500 0.000
F1 0.500 0.500 0.500
# - E_tot (eV/atom) = -7.02
# - formation energy from raw total energies (eV per atom) = -1.28

***

# 14
# HfPO2F (GGA-PBEsol, relaxed)
data_HfPO2F
_chemical_formula_sum 'Hf1 P1 O2 F1'
_space_group_name_H-M_alt 'P 4/m m m'
_space_group_IT_number 123
_space_group_name_Hall '-P 4 2'
_cell_length_a 3.720
_cell_length_b 3.720
_cell_length_c 4.311
_cell_angle_alpha 90.00
_cell_angle_beta 90.00
_cell_angle_gamma 90.00
loop_
_atom_site_label
_atom_site_fract_x
_atom_site_fract_y
_atom_site_fract_z
Hf1 0.000 0.000 0.000
P1 0.500 0.500 0.500
O1 0.000 0.500 0.500
F1 0.500 0.500 0.000
# - E_tot (eV/atom) = -6.43
# - formation energy from raw total energies (eV per atom) = -0.69

***

# 15
# HfPbO2F (GGA-PBEsol, relaxed)
data_HfPbO2F
_chemical_formula_sum 'Hf1 Pb1 O2 F1'
_space_group_name_H-M_alt 'P 4/m m m'
_space_group_IT_number 123
_space_group_name_Hall '-P 4 2'
_cell_length_a 4.341
_cell_length_b 4.341
_cell_length_c 4.389
_cell_angle_alpha 90.00
_cell_angle_beta 90.00
_cell_angle_gamma 90.00
loop_
_atom_site_label
_atom_site_fract_x
_atom_site_fract_y
_atom_site_fract_z
Hf1 0.000 0.000 0.000
Pb1 0.500 0.500 0.500
O1 0.000 0.500 0.500
F1 0.500 0.500 0.000
# - E_tot (eV/atom) = -5.78
# - formation energy from raw total energies (eV per atom) = -0.39

***

# 16
# Rb2Hf3OF12 (GGA-PBEsol, relaxed)
data_Rb2Hf3OF12
_chemical_formula_sum 'Rb12 Hf18 O6 F72'
_space_group_name_H-M_alt 'R -3 m'
_space_group_IT_number 166
_space_group_name_Hall '-R 3 2"'
_cell_length_a 7.6398
_cell_length_b 7.6398
_cell_length_c 29.6196
_cell_angle_alpha 90.00
_cell_angle_beta 90.00
_cell_angle_gamma 120.00
loop_
_atom_site_label
_atom_site_fract_x
_atom_site_fract_y
_atom_site_fract_z
Rb1 0.0000 0.0000 0.0000
Rb2 0.0000 0.0000 0.1382
Rb3 0.0000 0.0000 0.5000
Hf1 0.0312 0.5156 0.9401
O1 0.0000 0.0000 0.2879
F1 0.0000 0.3514 0.0000
F2 0.0059 0.5030 0.5926
F3 0.0442 0.5221 0.8735
F4 0.1094 0.5547 0.2619
# - E_tot (eV/atom) = -7.12
# - formation energy from raw total energies (eV per atom) = -3.68

***

# 17
# HfSO2F (GGA-PBEsol, relaxed)
data_HfSO2F
_chemical_formula_sum 'Hf1 S1 O2 F1'
_space_group_name_H-M_alt 'P 4/m m m'
_space_group_IT_number 123
_space_group_name_Hall '-P 4 2'
_cell_length_a 4.093
_cell_length_b 4.093
_cell_length_c 4.108
_cell_angle_alpha 90.00
_cell_angle_beta 90.00
_cell_angle_gamma 90.00
loop_
_atom_site_label
_atom_site_fract_x
_atom_site_fract_y
_atom_site_fract_z
Hf1 0.000 0.000 0.000
S1 0.500 0.500 0.500
O1 0.000 0.500 0.000
F1 0.000 0.000 0.500
# - E_tot (eV/atom) = -7.28
# - formation energy from raw total energies (eV per atom) = -1.82

***

# 18
# HfSbO2F (GGA-PBEsol, relaxed)
data_HfSbO2F
_chemical_formula_sum 'Hf1 Sb1 O2 F1'
_space_group_name_H-M_alt 'P 4/m m m'
_space_group_IT_number 123
_space_group_name_Hall '-P 4 2'
_cell_length_a 4.267
_cell_length_b 4.267
_cell_length_c 4.292
_cell_angle_alpha 90.00
_cell_angle_beta 90.00
_cell_angle_gamma 90.00
loop_
_atom_site_label
_atom_site_fract_x
_atom_site_fract_y
_atom_site_fract_z
Hf1 0.000 0.000 0.000
Sb1 0.500 0.500 0.500
O1 0.000 0.500 0.500
F1 0.500 0.500 0.000
# - E_tot (eV/atom) = -6.06
# - formation energy from raw total energies (eV per atom) = -0.57

***

# 19
# HfTaOF2 (GGA-PBEsol, relaxed)
data_HfTaOF2
_chemical_formula_sum 'Hf1 Ta1 O1 F2'
_space_group_name_H-M_alt 'P 4/m m m'
_space_group_IT_number 123
_space_group_name_Hall '-P 4 2'
_cell_length_a 4.256
_cell_length_b 4.256
_cell_length_c 3.934
_cell_angle_alpha 90.00
_cell_angle_beta 90.00
_cell_angle_gamma 90.00
loop_
_atom_site_label
_atom_site_fract_x
_atom_site_fract_y
_atom_site_fract_z
Hf1 0.000 0.000 0.000
Ta1 0.500 0.500 0.500
O1 0.500 0.500 0.000
F1 0.000 0.500 0.500
# - E_tot (eV/atom) = -7.50
# - formation energy from raw total energies (eV per atom) = -1.06

***

# 20
# HfTaO2F (GGA-PBEsol, relaxed)
data_HfTaO2F
_chemical_formula_sum 'Hf1 Ta1 O2 F1'
_space_group_name_H-M_alt 'P 4/m m m'
_space_group_IT_number 123
_space_group_name_Hall '-P 4 2'
_cell_length_a 3.985
_cell_length_b 3.985
_cell_length_c 4.162
_cell_angle_alpha 90.00
_cell_angle_beta 90.00
_cell_angle_gamma 90.00
loop_
_atom_site_label
_atom_site_fract_x
_atom_site_fract_y
_atom_site_fract_z
Hf1 0.000 0.000 0.000
Ta1 0.500 0.500 0.500
O1 0.000 0.500 0.500
F1 0.500 0.500 0.000
# - E_tot (eV/atom) = -8.46
# - formation energy from raw total energies (eV per atom) = -1.36